Entry 1:
A plane-wave DFT calculation with GGA-PBEsol was carried out for a relaxed structure of LiReNi6.

Output
Its crystal system is orthorhombic.

The structure in POSCAR format:
```
LiReNi6
1.0
3.519 -4.973 0.000
3.519 4.973 0.000
0.000 0.000 9.968
Li Re Ni
4 4 24
Direct
0.000 0.000 0.246
0.000 0.000 0.754
0.254 0.746 0.000
0.746 0.254 0.000
0.248 0.752 0.500
0.500 0.500 0.238
0.500 0.500 0.762
0.752 0.248 0.500
0.000 0.000 0.000
0.000 0.000 0.500
0.126 0.375 0.125
0.126 0.375 0.875
0.127 0.377 0.376
0.127 0.377 0.624
0.250 0.750 0.252
0.250 0.750 0.748
0.375 0.126 0.125
0.375 0.126 0.875
0.377 0.127 0.376
0.377 0.127 0.624
0.500 0.500 0.000
0.500 0.500 0.500
0.623 0.873 0.376
0.623 0.873 0.624
0.625 0.874 0.125
0.625 0.874 0.875
0.750 0.250 0.252
0.750 0.250 0.748
0.873 0.623 0.376
0.873 0.623 0.624
0.874 0.625 0.125
0.874 0.625 0.875
```

***

Entry 2:
A plane-wave DFT calculation with GGA-PBEsol was carried out for a relaxed structure of CsPBrCl2.

Output
The uncorrected formation energy is 0.563 eV/atom. Its crystal system is tetragonal.

The structure in POSCAR format:
```
CsPBrCl2
1.0
5.705 0.000 0.000
0.000 5.705 0.000
0.000 0.000 9.055
Cs P Br Cl
1 1 1 2
Direct
0.000 0.000 0.000
0.000 0.000 0.500
0.500 0.500 0.500
0.000 0.500 0.000
0.500 0.000 0.000
```

***

Entry 3:
A plane-wave DFT calculation with GGA-PBEsol was carried out for a relaxed structure of PtRhW.

Output
Its crystal system is tetragonal.

The structure in POSCAR format:
```
PtRhW
1.0
2.745 0.000 0.000
0.000 2.745 0.000
0.000 0.000 11.620
Pt Rh W
2 2 2
Direct
0.000 0.000 0.000
0.500 0.500 0.500
0.000 0.000 0.677
0.500 0.500 0.177
0.000 0.000 0.333
0.500 0.500 0.833
```

***

Entry 4:
A plane-wave DFT calculation with GGA-PBEsol was carried out for a relaxed structure of BaAgIr2.

Output
Its crystal system is orthorhombic.

The structure in POSCAR format:
```
BaAgIr2
1.0
5.776 0.000 0.000
0.000 9.112 0.000
0.000 0.000 2.938
Ba Ag Ir
2 2 4
Direct
0.000 0.000 0.000
0.500 0.500 0.000
0.000 0.500 0.000
0.500 0.000 0.000
0.250 0.250 0.500
0.250 0.750 0.500
0.750 0.250 0.500
0.750 0.750 0.500
```

***

Entry 5:
A plane-wave DFT calculation with GGA-PBEsol was carried out for a relaxed structure of Ti2In2Bi.

Output
Its crystal system is tetragonal.

The structure in POSCAR format:
```
Ti2In2Bi
1.0
7.104 0.000 0.000
0.000 7.104 0.000
0.000 0.000 4.226
Ti In Bi
4 4 2
Direct
0.143 0.357 0.000
0.357 0.857 0.000
0.643 0.143 0.000
0.857 0.643 0.000
0.155 0.655 0.500
0.345 0.155 0.500
0.655 0.845 0.500
0.845 0.345 0.500
0.000 0.000 0.000
0.500 0.500 0.000
```

***

Entry 6:
A plane-wave DFT calculation with GGA-PBEsol was carried out for a relaxed structure of PbAu2Br.

Output
The uncorrected formation energy is 0.200 eV/atom. Its crystal system is tetragonal.

The structure in POSCAR format:
```
PbAu2Br
1.0
3.482 0.000 0.000
0.000 3.482 0.000
0.000 0.000 7.247
Pb Au Br
1 2 1
Direct
0.000 0.000 0.000
0.500 0.500 0.247
0.500 0.500 0.753
0.000 0.000 0.500
```

***

Number 1: theoretical density 10.38 g cm⁻³, total energy -6.55 eV per atom. Number 2: theoretical density 1.77 g cm⁻³, total energy -1.96 eV per atom. Number 3: theoretical density 18.27 g cm⁻³, total energy -9.89 eV per atom. Number 4: theoretical density 13.52 g cm⁻³, total energy -5.46 eV per atom. Number 5: theoretical density 8.32 g cm⁻³, total energy -5.47 eV per atom. Number 6: theoretical density 12.87 g cm⁻³, total energy -3.23 eV per atom.